1.
# TlVBi2

TlVBi2 after structural relaxation (GGA-PBE, Alexandria).

Cell lengths 3.420, 3.420, 11.295 Å; angles 81.29, 81.29, 60.00 degrees
Site moments in Bohr magnetons follow the coordinates.
Element x y z (fractional)
Bi 0.895 0.895 0.314  -0.01
Bi 0.105 0.105 0.686  -0.01
V 0.500 0.500 0.500  0.29
Tl 0.000 0.000 0.000  0.00

- Calculated density: 9.9 g/cm3
- E above lowest polymorph: 0.0 meV/atom
- Calculated total energy: -4.60 eV per atom

2.
# Er6NiI10

Er6NiI10 after structural relaxation (GGA-PBE, Alexandria).

Cell lengths 7.664, 9.604, 9.627 Å; angles 106.72, 96.54, 104.11 degrees
Element x y z (fractional)
I 0.456 0.814 0.094
I 0.544 0.186 0.906
I 0.087 0.374 0.820
I 0.765 0.252 0.341
I 0.342 0.446 0.272
I 0.253 0.085 0.461
I 0.913 0.626 0.180
I 0.658 0.554 0.728
I 0.747 0.915 0.539
I 0.235 0.748 0.659
Er 0.965 0.276 0.082
Er 0.035 0.724 0.918
Er 0.113 0.042 0.766
Er 0.666 0.882 0.841
Er 0.334 0.118 0.159
Er 0.887 0.958 0.234
Ni 0.000 0.000 0.000

- Uncorrected formation energy: -113.3 kJ/mol of atoms
- Calculated density: 6.0 g/cm3
- Calculated total energy: -4.04 eV per atom

3.
# LaHfGe3

LaHfGe3 after structural relaxation (GGA-PBE, Alexandria).

Cell lengths 5.364, 5.364, 5.364 Å; angles 90.00, 90.00, 90.00 degrees
Element x y z (fractional)
Hf 0.500 0.500 0.500
Ge 0.000 0.500 0.000
Ge 0.000 0.000 0.500
Ge 0.500 0.000 0.000
La 0.000 0.000 0.000

- Calculated density: 5.8 g/cm3
- Calculated total energy: -4.59 eV per atom

4.
# Th2MgAl3

Th2MgAl3 after structural relaxation (GGA-PBE, Alexandria).

Cell lengths 5.996, 5.996, 8.969 Å; angles 104.57, 104.57, 104.32 degrees
Element x y z (fractional)
Th 0.250 0.750 0.500
Th 0.248 0.248 0.000
Th 0.752 0.752 0.000
Th 0.750 0.250 0.500
Al 0.671 0.165 0.836
Al 0.835 0.835 0.671
Al 0.165 0.671 0.836
Al 0.165 0.165 0.329
Al 0.329 0.835 0.164
Al 0.835 0.329 0.164
Mg 0.333 0.333 0.667
Mg 0.667 0.667 0.333

- Calculated density: 6.6 g/cm3
- E above lowest polymorph: 0.0 meV/atom
- Calculated total energy: -4.92 eV per atom

5.
# Ac2La12Ho5

Ac2La12Ho5 after structural relaxation (GGA-PBE, Alexandria).

Cell lengths 11.845, 8.956, 9.707 Å; angles 69.99, 90.00, 131.40 degrees
Element x y z (fractional)
La 0.174 0.779 0.428
La 0.128 0.257 0.054
La 0.394 0.221 0.572
La 0.574 0.147 0.225
La 0.946 0.373 0.202
La 0.606 0.779 0.428
La 0.826 0.221 0.572
La 0.872 0.743 0.946
La 0.426 0.853 0.775
La 0.054 0.627 0.798
La 0.427 0.373 0.202
La 0.573 0.627 0.798
Ho 0.811 0.622 0.333
Ho 0.305 0.610 0.244
Ho 0.000 0.000 0.500
Ho 0.695 0.390 0.756
Ho 0.189 0.378 0.667
Ac 0.733 0.000 0.000
Ac 0.267 0.000 0.000

- Calculated density: 7.1 g/cm3
- Calculated total energy: -4.65 eV per atom

6.
# CaLa7Y2

CaLa7Y2 after structural relaxation (GGA-PBE, Alexandria).

Cell lengths 5.958, 9.352, 9.352 Å; angles 58.35, 90.00, 90.00 degrees
Element x y z (fractional)
La 0.000 0.247 0.247
La 0.500 0.065 0.701
La 0.500 0.500 0.500
La 0.500 0.935 0.299
La 0.500 0.701 0.065
La 0.500 0.299 0.935
La 0.000 0.753 0.753
Ca 0.000 0.000 0.000
Y 0.500 0.296 0.296
Y 0.500 0.704 0.704

- Calculated density: 4.5 g/cm3
- Calculated total energy: -4.38 eV per atom

7.
# Sr2CrAg

Sr2CrAg after structural relaxation (GGA-PBE, Alexandria).

Cell lengths 4.726, 4.649, 6.488 Å; angles 69.06, 90.00, 90.00 degrees
Site moments in Bohr magnetons follow the coordinates.
Element x y z (fractional)
Sr 0.500 0.268 0.339  0.02
Sr 0.000 0.983 0.909  0.02
Cr 0.500 0.563 0.750  3.94
Ag 0.000 0.687 0.501  0.03

- Calculated density: 4.2 g/cm3
- E above lowest polymorph: 0.0 meV/atom
- Calculated total energy: -3.77 eV per atom

8.
# Tm2AlS

Tm2AlS after structural relaxation (GGA-PBE, Alexandria).

Cell lengths 3.669, 3.669, 8.148 Å; angles 76.99, 76.99, 60.00 degrees
Element x y z (fractional)
Al 0.500 0.500 0.501
Tm 0.263 0.263 0.212
Tm 0.070 0.070 0.790
S 0.667 0.667 0.998

- Uncorrected formation energy: -100.2 kJ/mol of atoms
- Calculated density: 7.2 g/cm3
- E above lowest polymorph: 131.7 meV/atom
- Calculated total energy: -5.24 eV per atom

9.
# SmScC

SmScC after structural relaxation (GGA-PBE, Alexandria).

Cell lengths 6.149, 3.482, 3.482 Å; angles 120.00, 90.00, 90.00 degrees
Element x y z (fractional)
Sc 0.201 0.333 0.667
C 0.023 0.000 0.000
Sm 0.776 0.667 0.333

- Calculated density: 5.3 g/cm3
- E above lowest polymorph: 55.3 meV/atom
- Calculated total energy: -7.00 eV per atom

10.
# Sm2DyHf

Sm2DyHf after structural relaxation (GGA-PBE, Alexandria).

Cell lengths 4.866, 4.911, 4.911 Å; angles 90.00, 90.00, 90.00 degrees
Element x y z (fractional)
Dy 0.500 0.500 0.500
Sm 0.000 0.500 0.000
Sm 0.000 0.000 0.500
Hf 0.500 0.000 0.000

- Calculated density: 9.1 g/cm3
- E above lowest polymorph: 16.0 meV/atom
- Calculated total energy: -5.84 eV per atom

11.
# TbSmPu2N4

TbSmPu2N4 after structural relaxation (GGA-PBE, Alexandria).

Cell lengths 3.513, 6.088, 6.046 Å; angles 109.59, 90.00, 90.00 degrees
Site moments in Bohr magnetons follow the coordinates.
Element x y z (fractional)
N 0.500 0.750 0.736  -0.15
N 0.000 0.760 0.267  -0.16
N 0.000 0.240 0.733  -0.16
N 0.500 0.250 0.264  -0.15
Tb 0.000 0.000 0.000  0.15
Pu 0.500 0.000 0.500  4.60
Pu 0.000 0.500 0.500  4.72
Sm 0.500 0.500 0.000  0.14

- Uncorrected formation energy: -136.9 kJ/mol of atoms
- Calculated density: 11.6 g/cm3
- Calculated total energy: -10.33 eV per atom

12.
# Ba4ErTl3O12

Ba4ErTl3O12 after structural relaxation (GGA-PBE, Alexandria).

Cell lengths 7.538, 7.538, 7.538 Å; angles 109.47, 109.47, 109.47 degrees
Element x y z (fractional)
O 0.250 0.750 0.500
O 0.750 0.500 0.250
O 0.500 0.750 0.250
O 0.749 0.749 0.000
O 0.251 0.000 0.251
O 0.749 0.000 0.749
O 0.000 0.749 0.749
O 0.000 0.251 0.251
O 0.251 0.251 0.000
O 0.250 0.500 0.750
O 0.750 0.250 0.500
O 0.500 0.250 0.750
Tl 0.500 0.500 0.000
Tl 0.000 0.500 0.500
Tl 0.500 0.000 0.500
Ba 0.500 0.500 0.500
Ba 0.500 0.000 0.000
Ba 0.000 0.500 0.000
Ba 0.000 0.000 0.500
Er 0.000 0.000 0.000

- Uncorrected formation energy: -158.9 kJ/mol of atoms
- Calculated density: 7.7 g/cm3
- Calculated total energy: -5.59 eV per atom

13.
# Pm4BeI5

Pm4BeI5 after structural relaxation (GGA-PBE, Alexandria).

Cell lengths 4.153, 9.096, 9.958 Å; angles 102.39, 102.04, 90.00 degrees
Element x y z (fractional)
Pm 0.645 0.074 0.290
Pm 0.355 0.926 0.710
Pm 0.001 0.785 0.002
Pm 0.999 0.215 0.998
I 0.173 0.825 0.347
I 0.827 0.175 0.653
I 0.500 0.500 0.000
I 0.166 0.343 0.333
I 0.834 0.657 0.667
Be 0.500 0.000 0.000

- Uncorrected formation energy: -95.9 kJ/mol of atoms
- Calculated density: 5.7 g/cm3
- Calculated total energy: -4.04 eV per atom

14.
# Y5Bi2C2

Y5Bi2C2 after structural relaxation (GGA-PBE, Alexandria).

Cell lengths 7.035, 6.844, 11.015 Å; angles 108.10, 108.62, 90.00 degrees
Element x y z (fractional)
C 0.000 0.994 0.000
C 0.500 0.494 0.000
C 0.823 0.778 0.500
C 0.177 0.278 0.500
Bi 0.400 0.885 0.776
Bi 0.876 0.385 0.776
Bi 0.124 0.609 0.224
Bi 0.600 0.109 0.224
Y 0.246 0.238 0.993
Y 0.161 0.123 0.274
Y 0.386 0.349 0.726
Y 0.889 0.114 0.500
Y 0.111 0.614 0.500
Y 0.839 0.849 0.726
Y 0.247 0.738 0.993
Y 0.753 0.746 0.007
Y 0.614 0.623 0.274
Y 0.754 0.246 0.007

- Calculated density: 6.2 g/cm3
- Calculated total energy: -6.99 eV per atom

15.
# Nd13Tm2

Nd13Tm2 after structural relaxation (GGA-PBE, Alexandria).

Cell lengths 6.782, 9.168, 9.172 Å; angles 113.61, 82.30, 97.79 degrees
Element x y z (fractional)
Nd 0.305 0.039 0.639
Nd 0.193 0.807 0.210
Nd 0.395 0.603 0.407
Nd 0.298 0.372 0.974
Nd 0.807 0.193 0.790
Nd 0.702 0.628 0.026
Nd 0.898 0.437 0.235
Nd 0.502 0.169 0.165
Nd 0.695 0.961 0.361
Nd 0.102 0.563 0.765
Nd 0.605 0.397 0.593
Nd 0.498 0.831 0.835
Nd 0.000 0.000 0.000
Tm 0.099 0.232 0.430
Tm 0.901 0.768 0.570

- Calculated density: 7.1 g/cm3
- E above lowest polymorph: 0.0 meV/atom
- Calculated total energy: -4.67 eV per atom

16.
# ScRu2Rh

ScRu2Rh after structural relaxation (GGA-PBE, Alexandria).

Cell lengths 4.897, 4.897, 4.897 Å; angles 133.36, 133.36, 68.09 degrees
Element x y z (fractional)
Sc 0.250 0.750 0.500
Ru 0.000 0.000 0.000
Ru 0.500 0.500 0.000
Rh 0.750 0.250 0.500

- Calculated density: 9.5 g/cm3
- Calculated total energy: -8.26 eV per atom

17.
# Na2HfTeN

Na2HfTeN after structural relaxation (GGA-PBE, Alexandria).

Cell lengths 5.354, 5.417, 5.354 Å; angles 90.00, 90.00, 90.00 degrees
Element x y z (fractional)
Te 0.000 0.000 0.000
Na 0.500 0.000 0.000
Na 0.000 0.000 0.500
N 0.500 0.500 0.500
Hf 0.000 0.500 0.000

- Uncorrected formation energy: 125.0 kJ/mol of atoms
- Calculated density: 3.9 g/cm3
- Calculated total energy: -3.52 eV per atom

18.
# Mn4Pt5Rh4

Mn4Pt5Rh4 after structural relaxation (GGA-PBE, Alexandria).

Cell lengths 3.911, 7.249, 7.249 Å; angles 85.83, 74.35, 74.35 degrees
Site moments in Bohr magnetons follow the coordinates.
Element x y z (fractional)
Mn 0.856 0.912 0.377  3.57
Mn 0.232 0.623 0.912  3.57
Mn 0.144 0.088 0.623  3.57
Mn 0.768 0.377 0.088  3.57
Pt 0.550 0.755 0.145  0.09
Pt 0.695 0.855 0.755  0.09
Pt 0.450 0.245 0.855  0.09
Pt 0.305 0.145 0.245  0.09
Pt 0.000 0.000 0.000  0.20
Rh 0.919 0.468 0.693  -0.19
Rh 0.081 0.532 0.307  -0.19
Rh 0.388 0.693 0.532  -0.19
Rh 0.612 0.307 0.468  -0.19

- Calculated density: 14.0 g/cm3
- Calculated total energy: -7.64 eV per atom

19.
# BeInCu2

BeInCu2 after structural relaxation (GGA-PBE, Alexandria).

Cell lengths 2.919, 2.918, 6.321 Å; angles 90.00, 90.00, 90.00 degrees
Element x y z (fractional)
Cu 0.000 0.000 0.944
Cu 0.000 0.000 0.556
Be 0.500 0.500 0.750
In 0.500 0.500 0.250

- Calculated density: 7.7 g/cm3
- E above lowest polymorph: 0.0 meV/atom
- Calculated total energy: -3.60 eV per atom

20.
# PrNdAg6

PrNdAg6 after structural relaxation (GGA-PBE, Alexandria).

Cell lengths 5.657, 5.656, 5.657 Å; angles 97.14, 97.33, 97.12 degrees
Element x y z (fractional)
Ag 0.749 0.463 0.038
Ag 0.037 0.749 0.464
Ag 0.463 0.037 0.749
Ag 0.537 0.963 0.251
Ag 0.963 0.251 0.536
Ag 0.251 0.537 0.962
Nd 0.500 0.500 0.500
Pr 0.000 0.000 0.000

- Calculated density: 8.8 g/cm3
- E above lowest polymorph: 0.0 meV/atom
- Calculated total energy: -3.55 eV per atom